7
Lattice="4.742 0.000 0.000 0.000 4.730 0.000 0.000 -2.365 8.546" Properties=species:S:1:pos:R:3 comment="LaPm4Co2 | Alexandria | PBE | relaxed" dos_ef_per_ev_atom=1.07 crystal_system=orthorhombic relative_energy_mev_per_atom=149 ef_ev_per_atom=0.107 space_group=Cmmm pbc="T T T"
La 0.000 0.000 0.000
Pm 2.371 2.365 5.717
Pm 0.000 2.365 2.772
Pm 2.371 0.000 2.829
Pm 0.000 0.000 5.774
Co 2.371 2.365 1.112
Co 2.371 0.000 7.434